VASP calculation (PBE) on an optimized crystal structure of NdNiAu.

Unit cell a=6.4466 b=6.4466 c=6.4466 alpha=90.00 beta=90.00 gamma=90.00
Closest atoms and distances in Å follow each position.
Positions (direct):
Nd 0.0000 0.0000 0.0000  4 Ni 2.79
Nd 0.0000 0.5000 0.5000  4 Ni 2.79
Nd 0.5000 0.0000 0.5000  4 Ni 2.79
Nd 0.5000 0.5000 0.0000  4 Ni 2.79
Ni 0.2500 0.2500 0.7500  4 Nd 2.79, 4 Au 2.79
Ni 0.2500 0.7500 0.2500  4 Nd 2.79, 4 Au 2.79
Ni 0.7500 0.2500 0.2500  4 Nd 2.79, 4 Au 2.79
Ni 0.7500 0.7500 0.7500  4 Nd 2.79, 4 Au 2.79
Au 0.0000 0.0000 0.5000  4 Ni 2.79
Au 0.0000 0.5000 0.0000  4 Ni 2.79
Au 0.5000 0.0000 0.0000  4 Ni 2.79
Au 0.5000 0.5000 0.5000  4 Ni 2.79

Results
- VASP energy (eV per atom) = -5.019
- formation energy (eV/atom) = -0.41
- total moment (μB per formula unit) = 0.0
- volume (Å³/f.u.) = 67.0